[1]
Li3Ag4Sb2, relaxed, DFT PBE; energy relative to the lowest polymorph listed for this composition = 0.16 eV per formula unit; calculated density = 6.71 g/cm³; DOS at the Fermi energy = 1.462 states/eV/cell; V = 19.13 A^3/atom
1.0
-4.1708 1.8042 1.6206
-4.2444 -2.2056 -1.2785
-3.0279 -6.1030 6.0197
Sb Li Ag
2 3 4
Direct
0.2462 0.7771 0.7285
0.7538 0.2229 0.2715
0.3988 0.8237 0.3819
0.6012 0.1763 0.6181
0.0000 0.0000 0.0000
0.6697 0.7115 0.9486
0.3303 0.2885 0.0514
0.9270 0.4778 0.6649
0.0730 0.5222 0.3351

=====

[2]
LiAg6Sb2, relaxed, DFT PBE; energy relative to the lowest polymorph listed for this composition = 0.00 eV per formula unit; calculated density = 8.58 g/cm³; DOS at the Fermi energy = 2.476 states/eV/cell; V = 19.30 A^3/atom
1.0
-1.8321 2.1155 3.2851
-2.3764 -4.4068 -1.3220
6.9184 -2.2688 5.3193
Ag Li Sb
6 1 2
Direct
0.0042 0.0084 0.1638
0.6709 0.3417 0.3913
0.9958 0.9916 0.8362
0.3291 0.6583 0.6087
0.6657 0.3314 0.0547
0.3343 0.6686 0.9453
0.0000 0.0000 0.5000
0.6604 0.3207 0.7187
0.3396 0.6793 0.2813

=====

[3]
LiAg2Sb, relaxed, DFT PBE; calculated density = 7.39 g/cm³; DOS at the Fermi energy = 1.102 states/eV/cell; V = 19.36 A^3/atom; E_tot = -3.11 eV per atom
1.0
5.0681 -0.0557 0.0463
4.1001 2.9796 0.0463
0.6511 0.2076 5.0573
Ag Li Sb
2 1 1
Direct
0.4986 0.4986 0.5140
0.0014 0.0014 0.9860
0.7500 0.7500 0.7500
0.2500 0.2500 0.2500

=====

[4]
LiAg2Sb, relaxed, DFT PBE; calculated density = 7.24 g/cm³; DOS at the Fermi energy = 1.248 states/eV/cell; V = 19.76 A^3/atom; E_tot = -3.05 eV per atom
1.0
5.9410 0.0203 -0.0732
-2.9713 5.1446 -0.0732
0.8030 1.3967 2.5413
Li Sb Ag
1 1 2
Direct
0.5000 0.0000 0.5000
0.0000 0.5000 0.5000
0.5000 0.5000 0.0000
0.0000 0.0000 0.0000

=====

[5]
LiAgSb, relaxed, DFT PBE; calculated density = 6.50 g/cm³; DOS at the Fermi energy = 0.769 states/eV/cell; V = 20.14 A^3/atom; E_tot = -3.10 eV per atom
1.0
6.2477 -0.1148 0.1170
5.4732 3.0125 0.1832
0.7746 0.1266 3.1254
Sb Ag Li
1 1 1
Direct
0.3267 0.3267 0.6733
0.0174 0.0174 0.9826
0.6559 0.6559 0.3441

=====

[6]
LiAg8Sb2, relaxed, DFT PBE; calculated density = 8.30 g/cm³; DOS at the Fermi energy = 2.140 states/eV/cell; V = 20.26 A^3/atom; E_tot = -2.95 eV per atom
1.0
4.9179 0.5552 0.4615
0.9194 7.3086 1.5050
0.9194 2.8158 6.9102
Ag Sb Li
8 2 1
Direct
0.7853 0.6323 0.2358
0.0861 0.7641 0.7641
0.2147 0.3677 0.7642
0.7853 0.2358 0.6323
0.2147 0.7642 0.3677
0.9139 0.2359 0.2359
0.6767 0.6346 0.6346
0.3233 0.3654 0.3654
0.4828 0.1404 0.1404
0.5172 0.8596 0.8596
0.0000 0.0000 0.0000

=====

[7]
Li2Ag3Sb2, relaxed, DFT PBE; energy relative to the lowest polymorph listed for this composition = 0.19 eV per formula unit; calculated density = 6.89 g/cm³; DOS at the Fermi energy = 1.557 states/eV/cell; V = 20.01 A^3/atom
1.0
-2.4571 -3.2929 -1.5699
8.7013 -4.3898 -4.6698
4.9567 -1.5459 1.4993
Sb Li Ag
2 2 3
Direct
0.4876 0.8262 0.9734
0.5124 0.1738 0.0266
0.1197 0.2835 0.2456
0.8803 0.7165 0.7544
0.6978 0.4363 0.3917
0.3022 0.5637 0.6083
0.0000 0.0000 0.0000

=====

[8]
LiAg2Sb, relaxed, DFT PBE; calculated density = 7.45 g/cm³; DOS at the Fermi energy = 2.011 states/eV/cell; V = 19.20 A^3/atom; E_tot = -3.10 eV per atom
1.0
4.7712 0.0000 0.0000
2.3856 4.1320 0.0000
2.3856 1.3773 3.8957
Sb Li Ag
1 1 2
Direct
0.2500 0.2500 0.2500
0.5000 0.5000 0.5000
0.7500 0.7500 0.7500
0.0000 0.0000 0.0000

=====

[9]
LiAg3Sb2, relaxed, DFT PBE; calculated density = 7.39 g/cm³; DOS at the Fermi energy = 4.188 states/eV/cell; V = 21.50 A^3/atom; E_tot = -3.16 eV per atom
1.0
6.7305 -1.1840 1.4704
0.5254 6.8136 1.4704
-0.2267 -0.1759 5.4591
Ag Sb Li
6 4 2
Direct
0.0901 0.1947 0.0898
0.9099 0.8053 0.9102
0.4562 0.5438 0.2500
0.1947 0.0901 0.5898
0.5438 0.4562 0.7500
0.8053 0.9099 0.4102
0.1359 0.5143 0.6772
0.8641 0.4857 0.3228
0.5143 0.1359 0.1772
0.4857 0.8641 0.8228
0.1798 0.8202 0.2500
0.8202 0.1798 0.7500

=====

[10]
LiAg5Sb2, relaxed, DFT PBE; calculated density = 7.42 g/cm³; DOS at the Fermi energy = 2.285 states/eV/cell; V = 22.09 A^3/atom; E_tot = -3.06 eV per atom
1.0
4.5119 0.0000 0.0000
2.2560 6.2605 -0.5515
2.2560 1.3576 6.1364
Ag Li Sb
5 1 2
Direct
0.3422 0.8278 0.4879
0.0000 0.5000 0.5000
0.3422 0.4879 0.8278
0.6578 0.1722 0.5121
0.6578 0.5121 0.1722
0.0000 0.0000 0.0000
0.2943 0.2057 0.2057
0.7057 0.7943 0.7943

=====

[11]
LiAgSb2, relaxed, DFT PBE; energy relative to the lowest polymorph listed for this composition = 0.52 eV per formula unit; calculated density = 5.62 g/cm³; DOS at the Fermi energy = 2.308 states/eV/cell; V = 26.46 A^3/atom
1.0
9.0526 0.0000 0.0000
0.0000 9.0526 0.0000
4.5263 4.5263 2.5826
Sb Ag Li
4 2 2
Direct
0.3750 0.2858 0.7500
0.0358 0.6250 0.2500
0.8750 0.9642 0.7500
0.7142 0.1250 0.2500
0.7500 0.2500 0.5000
0.0000 0.0000 0.0000
0.2500 0.7500 0.5000
0.5000 0.5000 0.0000

=====

[12]
Li3Ag6Sb2, relaxed, DFT PBE; calculated density = 7.52 g/cm³; DOS at the Fermi energy = 2.435 states/eV/cell; V = 18.31 A^3/atom; E_tot = -3.00 eV per atom
1.0
-2.6155 -5.0065 5.5922
1.9701 -2.4800 -3.0436
4.7088 -11.5855 6.1009
Sb Ag Li
2 6 3
Direct
0.3440 0.4489 0.2176
0.6560 0.5511 0.7824
0.5980 0.1355 0.6682
0.5343 0.7123 0.5573
0.4657 0.2877 0.4427
0.4020 0.8645 0.3318
0.0702 0.4193 0.1153
0.9298 0.5807 0.8847
0.9070 0.1953 0.7621
0.0930 0.8047 0.2379
0.0000 0.0000 0.0000

=====

Q: Among the records above, which one has the lowest V?
A: Li3Ag6Sb2

=====

Q: Which of these has the lowest DOS at the Fermi energy?
A: LiAgSb

=====

Q: Which value of calculated density does entry 8 give?
A: 7.45 g/cm³